The following is a DFT calculation (GGA-PBEsol) of a geometry-optimized AlH3NCl3 structure.

DOS at the Fermi energy	0.000	states/eV/atom
VASP energy	-296.8	eV/cell

Unit cell a=9.7784 b=9.8430 c=11.5810 alpha=90.00 beta=90.00 gamma=90.00
Last column: nearest neighbours and their distance in Å.
Fractional coordinates of all 64 atoms:
1 N 0.5562 0.7297 0.9105  3 H 1.04
2 N 0.4438 0.2703 0.0895  3 H 1.04
3 N 0.9438 0.2703 0.4105  3 H 1.04
4 N 0.5562 0.7703 0.4105  3 H 1.04
5 N 0.0562 0.7297 0.5895  3 H 1.04
6 N 0.9438 0.2297 0.9105  3 H 1.04
7 N 0.4438 0.2297 0.5895  3 H 1.04
8 N 0.0562 0.7703 0.0895  3 H 1.04
9 H 0.5379 0.2381 0.6303  1 N 1.04
10 H 0.4032 0.1729 0.0861  1 N 1.04
11 H 0.5379 0.2619 0.1303  1 N 1.04
12 H 0.5349 0.7018 0.9949  1 N 1.04
13 H 0.9651 0.2982 0.4949  1 N 1.04
14 H 0.4651 0.2018 0.5051  1 N 1.04
15 H 0.0349 0.7018 0.5051  1 N 1.04
16 H 0.4651 0.2982 0.0051  1 N 1.04
17 H 0.9032 0.3271 0.9139  1 N 1.04
18 H 0.5349 0.7982 0.4949  1 N 1.04
19 H 0.0968 0.8271 0.5861  1 N 1.04
20 H 0.9621 0.7619 0.1303  1 N 1.04
21 H 0.9621 0.7381 0.6303  1 N 1.04
22 H 0.5968 0.6729 0.4139  1 N 1.04
23 H 0.9651 0.2018 0.9949  1 N 1.04
24 H 0.9032 0.1729 0.4139  1 N 1.04
25 H 0.0968 0.6729 0.0861  1 N 1.04
26 H 0.0379 0.2381 0.8697  1 N 1.04
27 H 0.4032 0.3271 0.5861  1 N 1.04
28 H 0.5968 0.8271 0.9139  1 N 1.04
29 H 0.0349 0.7982 0.0051  1 N 1.04
30 H 0.0379 0.2619 0.3697  1 N 1.04
31 H 0.4621 0.7381 0.8697  1 N 1.04
32 H 0.4621 0.7619 0.3697  1 N 1.04
33 Cl 0.4552 0.9186 0.6708  1 Al 2.14
34 Cl 0.7221 0.8238 0.1687  1 Al 2.13
35 Cl 0.7779 0.3238 0.1687  1 Al 2.13
36 Cl 0.8466 0.9375 0.4378  1 Al 2.13
37 Cl 0.7779 0.1762 0.6687  1 Al 2.13
38 Cl 0.3466 0.5625 0.5622  1 Al 2.13
39 Cl 0.2779 0.1762 0.8313  1 Al 2.13
40 Cl 0.9552 0.5814 0.3292  1 Al 2.14
41 Cl 0.2221 0.6762 0.8313  1 Al 2.13
42 Cl 0.5448 0.4186 0.8292  1 Al 2.14
43 Cl 0.1534 0.4375 0.0622  1 Al 2.13
44 Cl 0.7221 0.6762 0.6687  1 Al 2.13
45 Cl 0.5448 0.0814 0.3292  1 Al 2.14
46 Cl 0.6534 0.0625 0.9378  1 Al 2.13
47 Cl 0.2221 0.8238 0.3313  1 Al 2.13
48 Cl 0.9552 0.9186 0.8292  1 Al 2.14
49 Cl 0.8466 0.5625 0.9378  1 Al 2.13
50 Cl 0.3466 0.9375 0.0622  1 Al 2.13
51 Cl 0.4552 0.5814 0.1708  1 Al 2.14
52 Cl 0.1534 0.0625 0.5622  1 Al 2.13
53 Cl 0.0448 0.4186 0.6708  1 Al 2.14
54 Cl 0.6534 0.4375 0.4378  1 Al 2.13
55 Cl 0.2779 0.3238 0.3313  1 Al 2.13
56 Cl 0.0448 0.0814 0.1708  1 Al 2.14
57 Al 0.6699 0.9035 0.3340  1 N 1.93, 3 Cl 2.13-2.14
58 Al 0.3301 0.0965 0.6660  1 N 1.93, 3 Cl 2.13-2.14
59 Al 0.3301 0.4035 0.1660  1 N 1.93, 3 Cl 2.13-2.14
60 Al 0.8301 0.0965 0.8340  1 N 1.93, 3 Cl 2.13-2.14
61 Al 0.6699 0.5965 0.8340  1 N 1.93, 3 Cl 2.13-2.14
62 Al 0.8301 0.4035 0.3340  1 N 1.93, 3 Cl 2.13-2.14
63 Al 0.1699 0.5965 0.6660  1 N 1.93, 3 Cl 2.13-2.14
64 Al 0.1699 0.9035 0.1660  1 N 1.93, 3 Cl 2.13-2.14

The following is a DFT calculation (GGA-PBEsol) of a geometry-optimized KZnAu structure.

DOS at the Fermi energy	0.297	states/eV/atom
calculated formation energy	-0.107	eV per atom
VASP energy	-7.0	eV/cell
ΔE to the lowest computed polymorph	0.048	eV per formula unit

Unit cell a=3.5724 b=3.5724 c=6.3970 alpha=106.21 beta=106.21 gamma=90.00
Last column: nearest neighbours and their distance in Å.
Fractional coordinates of all 3 atoms:
1 Au 0.0605 0.0605 0.1210  4 Zn 2.57
2 Zn 0.6025 0.6025 0.2051  4 Au 2.57
3 K 0.3370 0.3370 0.6739  1 Zn 3.12, 1 Au 3.25

The following is a DFT calculation (GGA-PBEsol) of a geometry-optimized Li2SiWF structure.

DOS at the Fermi energy	0.869	states/eV/atom
VASP energy	-21.5	eV/cell
formation energy (no corrections)	0.77	eV per atom

Unit cell a=3.8353 b=5.0458 c=5.0458 alpha=90.00 beta=90.00 gamma=90.00
Last column: nearest neighbours and their distance in Å.
Fractional coordinates of all 5 atoms:
1 Li 0.0000 0.5000 0.0000  2 W 2.52
2 Li 0.0000 0.0000 0.5000  2 W 2.52
3 F 0.5000 0.0000 0.0000  2 W 1.92
4 Si 0.5000 0.5000 0.5000  8 Li 3.17
5 W 0.0000 0.0000 0.0000  2 F 1.92

The following is a DFT calculation (GGA-PBEsol) of a geometry-optimized ZrTe2Pt structure.

DOS at the Fermi energy	0.739	states/eV/atom
VASP energy	-25.2	eV/cell
ΔE to the lowest computed polymorph	0.072	eV per formula unit
formation energy (no corrections)	-0.52	eV per atom

Unit cell a=3.8665 b=4.2530 c=7.1682 alpha=107.26 beta=105.65 gamma=90.00
Last column: nearest neighbours and their distance in Å.
Fractional coordinates of all 4 atoms:
1 Pt 0.0000 0.5000 0.0000  4 Te 2.76, 4 Zr 2.87
2 Te 0.6496 0.6496 0.2992  2 Pt 2.76, 2 Zr 2.90
3 Te 0.3504 0.3504 0.7008  2 Pt 2.76, 2 Zr 2.90
4 Zr 0.5000 0.0000 0.0000  4 Pt 2.87, 4 Te 2.90